1.
# Li3Mg GGA-PBE optimized geometry
data_Li3Mg
_chemical_formula_sum 'Li3 Mg1'
_space_group_name_H-M_alt 'P 1'
_space_group_IT_number 1
_cell_length_a 5.575
_cell_length_b 5.575
_cell_length_c 5.575
_cell_angle_alpha 90.00
_cell_angle_beta 90.00
_cell_angle_gamma 90.00
loop_
_space_group_symop_operation_xyz
'x,y,z'
loop_
_atom_site_label
_atom_site_type_symbol
_atom_site_fract_x
_atom_site_fract_y
_atom_site_fract_z
_atom_site_occupancy
Li1 Li 0.000 0.500 0.000 1
Li2 Li 0.000 0.000 0.500 1
Li3 Li 0.500 0.000 0.000 1
Mg1 Mg 0.000 0.000 0.000 1
# Calculated total energy (eV per atom): -1.23
# E_form (meV/atom): 604

=====

2.
# Al3Pd3Pt2 GGA-PBE optimized geometry
data_Al3Pd3Pt2
_chemical_formula_sum 'Al3 Pd3 Pt2'
_space_group_name_H-M_alt 'P 1'
_space_group_IT_number 1
_cell_length_a 3.516
_cell_length_b 4.179
_cell_length_c 8.600
_cell_angle_alpha 104.06
_cell_angle_beta 101.80
_cell_angle_gamma 90.00
loop_
_space_group_symop_operation_xyz
'x,y,z'
loop_
_atom_site_label
_atom_site_type_symbol
_atom_site_fract_x
_atom_site_fract_y
_atom_site_fract_z
_atom_site_occupancy
Al1 Al 0.135 0.135 0.270 1
Pd1 Pd 0.385 0.385 0.770 1
Pt1 Pt 0.743 0.243 0.487 1
Pd2 Pd 0.615 0.615 0.230 1
Pd3 Pd 0.500 0.000 0.000 1
Al2 Al 0.865 0.865 0.730 1
Pt2 Pt 0.257 0.757 0.513 1
Al3 Al 0.000 0.500 0.000 1
# Calculated total energy (eV per atom): -5.66
# E_form (meV/atom): -798

=====

3.
# CdCSN2 GGA-PBE optimized geometry
data_CdCSN2
_chemical_formula_sum 'Cd1 C1 S1 N2'
_space_group_name_H-M_alt 'P 1'
_space_group_IT_number 1
_cell_length_a 4.206
_cell_length_b 4.206
_cell_length_c 5.445
_cell_angle_alpha 90.00
_cell_angle_beta 90.00
_cell_angle_gamma 90.00
loop_
_space_group_symop_operation_xyz
'x,y,z'
loop_
_atom_site_label
_atom_site_type_symbol
_atom_site_fract_x
_atom_site_fract_y
_atom_site_fract_z
_atom_site_occupancy
N1 N 0.500 0.000 0.000 1
Cd1 Cd 0.000 0.000 0.000 1
N2 N 0.000 0.500 0.000 1
C1 C 0.500 0.500 0.500 1
S1 S 0.000 0.000 0.500 1
# Energy relative to the elements, uncorrected (eV/atom): 3.083
# Calculated total energy (eV per atom): -3.10

=====

4.
# NaH2SeO4 GGA-PBE optimized geometry
data_NaH2SeO4
_chemical_formula_sum 'Na1 H2 Se1 O4'
_space_group_name_H-M_alt 'P 1'
_space_group_IT_number 1
_cell_length_a 4.551
_cell_length_b 5.102
_cell_length_c 5.102
_cell_angle_alpha 79.30
_cell_angle_beta 63.51
_cell_angle_gamma 63.51
loop_
_space_group_symop_operation_xyz
'x,y,z'
loop_
_atom_site_label
_atom_site_type_symbol
_atom_site_fract_x
_atom_site_fract_y
_atom_site_fract_z
_atom_site_occupancy
O1 O 0.579 0.596 0.782 1
O2 O 0.043 0.782 0.596 1
Se1 Se 0.500 0.500 0.500 1
O3 O 0.957 0.404 0.218 1
H1 H 0.828 0.672 0.672 1
H2 H 0.172 0.328 0.328 1
Na1 Na 0.000 0.000 0.000 1
O4 O 0.421 0.218 0.404 1
# Calculated total energy (eV per atom): -4.70

=====

5.
# MgRe2Hg GGA-PBE optimized geometry
data_MgRe2Hg
_chemical_formula_sum 'Mg1 Re2 Hg1'
_space_group_name_H-M_alt 'P 1'
_space_group_IT_number 1
_cell_length_a 5.379
_cell_length_b 5.379
_cell_length_c 5.379
_cell_angle_alpha 138.55
_cell_angle_beta 138.55
_cell_angle_gamma 60.07
loop_
_space_group_symop_operation_xyz
'x,y,z'
loop_
_atom_site_label
_atom_site_type_symbol
_atom_site_fract_x
_atom_site_fract_y
_atom_site_fract_z
_atom_site_occupancy
Hg1 Hg 0.250 0.750 0.500 1
Re1 Re 0.500 0.500 0.000 1
Mg1 Mg 0.750 0.250 0.500 1
Re2 Re 0.000 0.000 0.000 1
# Calculated total energy (eV per atom): -6.05
# E_form (meV/atom): 647

=====

6.
# Dy5ZnFe2 GGA-PBE optimized geometry
data_Dy5ZnFe2
_chemical_formula_sum 'Dy10 Zn2 Fe4'
_space_group_name_H-M_alt 'P 1'
_space_group_IT_number 1
_cell_length_a 7.467
_cell_length_b 7.467
_cell_length_c 8.601
_cell_angle_alpha 115.73
_cell_angle_beta 115.73
_cell_angle_gamma 90.00
loop_
_space_group_symop_operation_xyz
'x,y,z'
loop_
_atom_site_label
_atom_site_type_symbol
_atom_site_fract_x
_atom_site_fract_y
_atom_site_fract_z
_atom_site_occupancy
Dy1 Dy 0.811 0.967 0.279 1
Fe1 Fe 0.392 0.892 0.000 1
Dy2 Dy 0.311 0.811 0.279 1
Dy3 Dy 0.967 0.467 0.279 1
Dy4 Dy 0.000 0.000 0.000 1
Dy5 Dy 0.689 0.189 0.721 1
Zn1 Zn 0.750 0.750 0.500 1
Fe2 Fe 0.108 0.392 0.000 1
Fe3 Fe 0.608 0.108 0.000 1
Dy6 Dy 0.189 0.033 0.721 1
Dy7 Dy 0.533 0.689 0.721 1
Dy8 Dy 0.033 0.533 0.721 1
Zn2 Zn 0.250 0.250 0.500 1
Dy9 Dy 0.467 0.311 0.279 1
Dy10 Dy 0.500 0.500 0.000 1
Fe4 Fe 0.892 0.608 0.000 1
# Calculated total energy (eV per atom): -5.23
# E_form (meV/atom): -77